--- one ---
Material: LiCo2Ru
Method: DFT, PBE
State: relaxed

Its density is 7.943 Mg/m³.

The space group is P2/m (No. 10) and the conventional cell measures 2.5188, 3.8544 and 4.9172 Å, with angles of 90.00, 98.42 and 90.00 degrees. The distinct sites, in fractional coordinates, are Li at (0.0000, 0.0000, 0.0000), Co at (0.4589, 0.5000, 0.2463) and Ru at (0.0000, 0.0000, 0.5000).


--- two ---
Material: LiCo2Ru
Method: DFT, PBE
State: relaxed

Its density is 7.780 Mg/m³.

The space group is Cm (No. 8) and the conventional cell measures 9.1122, 2.5806 and 4.3857 Å, with angles of 90.00, 110.79 and 90.00 degrees. The distinct sites, in fractional coordinates, are Li at (0.0000, 0.0000, 0.0000), Co at (0.2598, 0.5000, 0.1412), Co at (0.4749, 0.0000, 0.4899) and Ru at (0.2197, 0.0000, 0.6237).


--- three ---
Material: LiCo2Ru
Method: DFT, PBE
State: relaxed

Its density is 7.917 Mg/m³.

The space group is Immm (No. 71) and the conventional cell measures 2.7848, 4.1042 and 8.2901 Å, with angles of 90.00, 90.00 and 90.00 degrees. The distinct sites, in fractional coordinates, are Li at (0.0000, 0.0000, 0.0000), Co at (0.0000, 0.5000, 0.2490) and Ru at (0.0000, 0.0000, 0.5000).


--- four ---
Material: LiCo2Ru
Method: DFT, PBE
State: relaxed

Its density is 7.871 Mg/m³.

The space group is Pmmm (No. 47) and the conventional cell measures 2.5902, 4.2267 and 4.3525 Å, with angles of 90.00, 90.00 and 90.00 degrees. The distinct sites, in fractional coordinates, are Li at (0.0000, 0.0000, 0.0000), Co at (0.0000, 0.5000, 0.5000), Co at (0.5000, 0.0000, 0.5000) and Ru at (0.5000, 0.5000, 0.0000).


Verdict on stability: four comes out at the bottom.